YZr2Mn: optimized geometry, PBE.

Energy above the lowest structure with this stoichiometry: 148.7 meV per atom
ρ: 6.000 g/cm3
Energy of formation: 5.24 kcal/mol of atoms
Total energy: -7.96 eV per atom

Lattice parameters (Å, degrees): 4.7123 3.3165 5.9696 75.45 90.00 90.00
Atoms (fractional coordinates):
Mn 0.5000 0.2500 0.2500
Y 0.5000 0.7500 0.7500
Zr 0.0000 0.0731 0.0313
Zr 0.0000 0.4269 0.4687

---

YZr2Mn: optimized geometry, PBE.

Energy above the lowest structure with this stoichiometry: 154.0 meV per atom
ρ: 6.036 g/cm3
Energy of formation: 5.36 kcal/mol of atoms
Total energy: -7.95 eV per atom

Lattice parameters (Å, degrees): 9.5342 9.5342 9.5342 20.12 20.12 20.12
Atoms (fractional coordinates):
Mn 0.2500 0.2500 0.2500
Y 0.7500 0.7500 0.7500
Zr 0.9806 0.9806 0.9806
Zr 0.5194 0.5194 0.5194

---

YZrMn3: optimized geometry, PBE.

Energy above the lowest structure with this stoichiometry: 0.0 meV per atom
ρ: 5.095 g/cm3
Energy of formation: 19.68 kcal/mol of atoms
Total energy: -7.65 eV per atom

Lattice parameters (Å, degrees): 4.8263 4.8263 4.8263 90.00 90.00 90.00
Atoms (fractional coordinates):
Y 0.5000 0.5000 0.5000
Mn 0.0000 0.5000 0.0000
Mn 0.0000 0.0000 0.5000
Mn 0.5000 0.0000 0.0000
Zr 0.0000 0.0000 0.0000

---

Q: Which value of ρ does entry 2 give?
A: 6.036 g/cm3